DFT (PBE-GGA) results for an optimized crystal structure of Hf2InNi2.

The crystal system is tetragonal.

a b c (Å): 7.165 7.165 6.597
angles (deg): 90.00 90.00 90.00
Element x y z (fractional)
Hf1 0.173 0.173 0.000
Hf2 0.658 0.342 0.000
Hf3 0.342 0.658 0.000
Hf4 0.827 0.827 0.000
Hf5 0.158 0.158 0.500
Hf6 0.673 0.327 0.500
Hf7 0.327 0.673 0.500
Hf8 0.842 0.842 0.500
In1 0.500 0.000 0.250
In2 0.000 0.500 0.250
In3 0.500 0.000 0.750
In4 0.000 0.500 0.750
Ni1 0.874 0.126 0.232
Ni2 0.126 0.874 0.232
Ni3 0.374 0.374 0.268
Ni4 0.626 0.626 0.268
Ni5 0.374 0.374 0.732
Ni6 0.626 0.626 0.732
Ni7 0.874 0.126 0.768
Ni8 0.126 0.874 0.768

---

DFT (PBE-GGA) results for an optimized crystal structure of NdNi.

The crystal system is hexagonal. As for the formation energy: 0.1514 eV/atom.

a b c (Å): 4.705 4.705 5.663
angles (deg): 90.00 90.00 120.00
Element x y z (fractional)
Nd1 0.333 0.667 0.437
Nd2 0.000 0.000 0.937
Ni1 0.000 0.000 0.438
Ni2 0.333 0.667 0.938

---

DFT (PBE-GGA) results for an optimized crystal structure of PmFeBi.

For the offset from the most stable computed form, the calculation gives 0.94 eV/f.u. The crystal system is cubic.

a b c (Å): 5.068 5.068 5.068
angles (deg): 60.00 60.00 60.00
Element x y z (fractional)
Bi1 0.250 0.250 0.250
Fe1 0.750 0.750 0.750
Pm1 0.000 0.000 0.000

---

DFT (PBE-GGA) results for an optimized crystal structure of Hf2Th.

The crystal system is cubic. As for the formation energy: 3.3887 eV/atom.

a b c (Å): 9.304 9.304 9.304
angles (deg): 60.00 60.00 60.00
Element x y z (fractional)
Hf1 0.375 0.375 0.375
Hf2 0.875 0.375 0.375
Hf3 0.375 0.875 0.375
Hf4 0.375 0.375 0.875
Th1 0.250 0.250 0.250
Th2 0.500 0.500 0.500

---

VASP energy in eV per cell, matching the order above: -145.365; -20.056; -15.656; -34.315